(1)
Material: Cs2RbO3
Method: DFT, PBE
State: optimized geometry

abc: 6.9491 6.9491 10.6957
angles: 113.10 113.10 46.79
Fractional positions:
Cs: 0.1507 0.1569 0.0764
Cs: 0.1569 0.1507 0.5764
Cs: 0.8431 0.8493 0.4236
Cs: 0.8493 0.8431 0.9236
Rb: 0.5002 0.4998 0.2500
Rb: 0.4998 0.5002 0.7500
O: 0.0002 0.9998 0.2500
O: 0.9998 0.0002 0.7500
O: 0.4341 0.4416 0.4684
O: 0.4416 0.4341 0.9684
O: 0.5584 0.5659 0.0316
O: 0.5659 0.5584 0.5316

Values from the calculation:
Formation energy from raw total energies ... -491.7 kJ/mol of formula units
Density ... 3.90 g/cm³
Space group ... No. 15
Crystal system ... monoclinic

***

(2)
Material: Cs3Rb2O8
Method: DFT, PBE
State: optimized geometry

abc: 7.4577 7.4577 8.1188
angles: 120.25 120.25 81.03
Fractional positions:
Cs: 0.0000 0.0000 0.0000
Cs: 0.2628 0.7372 0.5000
Cs: 0.7372 0.2628 0.5000
Rb: 0.3335 0.3335 0.9535
Rb: 0.6665 0.6665 0.0465
O: 0.0193 0.5889 0.9977
O: 0.1873 0.1873 0.5039
O: 0.3413 0.3413 0.5985
O: 0.4111 0.9807 0.0023
O: 0.5889 0.0193 0.9977
O: 0.6587 0.6587 0.4015
O: 0.8127 0.8127 0.4961
O: 0.9807 0.4111 0.0023

Values from the calculation:
Formation energy from raw total energies ... -1117.7 kJ/mol of formula units
Density ... 3.47 g/cm³
Space group ... No. 12
Crystal system ... monoclinic

***

(3)
Material: CsRb4O
Method: DFT, PBE
State: optimized geometry

abc: 8.2662 8.2662 8.2662
angles: 101.79 101.79 126.26
Fractional positions:
Cs: 0.0000 0.0000 0.0000
Rb: 0.1805 0.4027 0.7114
Rb: 0.4027 0.6913 0.2222
Rb: 0.4691 0.1805 0.7778
Rb: 0.6913 0.4691 0.2886
O: 0.3643 0.3643 0.0000

Values from the calculation:
Formation energy from raw total energies ... -281.7 kJ/mol of formula units
Density ... 2.01 g/cm³
Space group ... No. 79
Crystal system ... tetragonal

***

(4)
Material: Cs4Rb2O
Method: DFT, PBE
State: optimized geometry

abc: 13.6558 13.6558 13.6558
angles: 153.34 153.34 38.06
Fractional positions:
Cs: 0.0000 0.5000 0.5000
Cs: 0.1058 0.1058 0.0000
Cs: 0.5000 0.0000 0.5000
Cs: 0.8942 0.8942 0.0000
Rb: 0.3016 0.3016 0.0000
Rb: 0.6984 0.6984 0.0000
O: 0.0000 0.0000 0.0000

Values from the calculation:
Formation energy from raw total energies ... -278.9 kJ/mol of formula units
Density ... 2.33 g/cm³
Space group ... No. 139
Crystal system ... tetragonal

***

| no. | D(E_F) (states/eV per cell) |
| --- | --- |
| 1 | 7.6 |
| 2 | 15.0 |
| 3 | 3.5 |
| 4 | 4.5 |